Material: Be2RuPt
Method: DFT, SCAN
State: single point on PBEsol structure

Cell and atoms, written as POSCAR:
```
Be2RuPt
1.0
0.0000 2.7810 2.7810
2.7810 0.0000 2.7810
2.7810 2.7810 0.0000
Be Ru Pt
2 1 1
Direct
0.2500 0.2500 0.2500
0.7500 0.7500 0.7500
0.0000 0.0000 0.0000
0.5000 0.5000 0.5000
```

DOS(E_F) in states/eV per cell: 3.058
Symmetry: Fm-3m (225)
Formation enthalpy at 0 K in meV per atom: -692.5
Calculated volume in Å³/f.u.: 43.0

Material: Rb2ScInF6
Method: DFT, SCAN
State: single point on PBEsol structure

Cell and atoms, written as POSCAR:
```
Rb2ScInF6
1.0
0.0000 4.5635 4.5635
4.5635 0.0000 4.5635
4.5635 4.5635 0.0000
Rb Sc In F
2 1 1 6
Direct
0.2500 0.2500 0.2500
0.7500 0.7500 0.7500
0.0000 0.0000 0.0000
0.5000 0.5000 0.5000
0.2206 0.2206 0.7794
0.2206 0.7794 0.2206
0.2206 0.7794 0.7794
0.7794 0.2206 0.2206
0.7794 0.2206 0.7794
0.7794 0.7794 0.2206
```

DOS(E_F) in states/eV per cell: 0.000
Symmetry: Fm-3m (225)
Energy in eV per cell: -142.46
Calculated volume in Å³/f.u.: 190.1

Material: Zn3P
Method: DFT, SCAN
State: single point on PBEsol structure

Cell and atoms, written as POSCAR:
```
Zn3P
1.0
-1.6990 1.6990 5.7378
1.6990 -1.6990 5.7378
1.6990 1.6990 -5.7378
Zn P
3 1
Direct
0.0000 0.0000 0.0000
0.2918 0.2918 0.0000
0.7082 0.7082 0.0000
0.5000 0.5000 0.0000
```

DOS(E_F) in states/eV per cell: 1.200
Symmetry: I4/mmm (139)
Formation enthalpy at 0 K in meV per atom: 88.8
Calculated volume in Å³/f.u.: 66.2

Material: Ni3IN
Method: DFT, SCAN
State: single point on PBEsol structure

Cell and atoms, written as POSCAR:
```
Ni3IN
1.0
4.6022 0.0000 0.0000
0.0000 4.6022 0.0000
0.0000 0.0000 4.6022
Ni I N
3 1 1
Direct
0.0000 0.0000 0.5000
0.0000 0.5000 0.0000
0.5000 0.0000 0.0000
0.0000 0.0000 0.0000
0.5000 0.5000 0.5000
```

DOS(E_F) in states/eV per cell: 4.761
Symmetry: Pm-3m (221)
Energy in eV per cell: -84.35
Calculated volume in Å³/f.u.: 97.5

Material: CaMnNi
Method: DFT, SCAN
State: single point on PBEsol structure

Cell and atoms, written as POSCAR:
```
CaMnNi
1.0
3.9384 0.0000 0.0000
-1.9692 3.4108 0.0000
0.0000 0.0000 4.2654
Ca Mn Ni
1 1 1
Direct
0.0000 0.0000 0.0000
0.3333 0.6667 0.5000
0.6667 0.3333 0.5000
```

DOS(E_F) in states/eV per cell: 2.844
Symmetry: P-6m2 (187)
Formation enthalpy at 0 K in meV per atom: 83.6
Calculated volume in Å³/f.u.: 57.3

Material: Cr2ReNi
Method: DFT, SCAN
State: single point on PBEsol structure

Cell and atoms, written as POSCAR:
```
Cr2ReNi
1.0
2.9898 0.0000 0.0000
0.0000 2.9898 0.0000
0.0000 0.0000 5.3173
Cr Re Ni
2 1 1
Direct
0.0000 0.0000 0.0000
0.5000 0.5000 0.2437
0.5000 0.5000 0.7400
0.0000 0.0000 0.4715
```

DOS(E_F) in states/eV per cell: 3.890
Symmetry: P4mm (99)
Formation enthalpy at 0 K in meV per atom: 120.1
Calculated volume in Å³/f.u.: 47.5

Material: HgNF2
Method: DFT, SCAN
State: single point on PBEsol structure

Cell and atoms, written as POSCAR:
```
HgNF2
1.0
-2.8630 2.8630 4.0778
2.8630 -2.8630 4.0778
2.8630 2.8630 -4.0778
Hg N F
2 2 4
Direct
0.3750 0.6250 0.7500
0.6250 0.3750 0.2500
0.1250 0.8750 0.2500
0.8750 0.1250 0.7500
0.0000 0.0000 0.0000
0.0000 0.0000 0.5000
0.0000 0.5000 0.0000
0.5000 0.0000 0.5000
```

DOS(E_F) in states/eV per cell: 1.173
Symmetry: I4_1/amd (141)
Energy in eV per cell: -163.64
Calculated volume in Å³/f.u.: 66.8

Material: Ta2NiRh
Method: DFT, SCAN
State: single point on PBEsol structure

Cell and atoms, written as POSCAR:
```
Ta2NiRh
1.0
3.1714 0.0000 0.0000
0.0000 3.1714 0.0000
0.0000 0.0000 5.9135
Ta Ni Rh
2 1 1
Direct
0.0000 0.0000 0.0000
0.5000 0.5000 0.3064
0.0000 0.0000 0.5112
0.5000 0.5000 0.7640
```

DOS(E_F) in states/eV per cell: 2.131
Symmetry: P4mm (99)
Formation enthalpy at 0 K in meV per atom: -383.8
Calculated volume in Å³/f.u.: 59.5

Material: LiLa3Tc
Method: DFT, SCAN
State: single point on PBEsol structure

Cell and atoms, written as POSCAR:
```
LiLa3Tc
1.0
5.4663 0.0000 0.0000
0.0000 5.4663 0.0000
0.0000 0.0000 5.4663
Li La Tc
1 3 1
Direct
0.0000 0.0000 0.0000
0.0000 0.5000 0.5000
0.5000 0.0000 0.5000
0.5000 0.5000 0.0000
0.5000 0.5000 0.5000
```

DOS(E_F) in states/eV per cell: 5.093
Symmetry: Pm-3m (221)
Formation enthalpy at 0 K in meV per atom: 25.0
Calculated volume in Å³/f.u.: 163.3

Material: YAlHg2
Method: DFT, SCAN
State: single point on PBEsol structure

Cell and atoms, written as POSCAR:
```
YAlHg2
1.0
4.4495 0.0000 0.0000
0.0000 4.4495 0.0000
0.0000 0.0000 4.3317
Y Al Hg
1 1 2
Direct
0.0000 0.0000 0.0000
0.5000 0.5000 0.0000
0.0000 0.5000 0.5000
0.5000 0.0000 0.5000
```

DOS(E_F) in states/eV per cell: 2.070
Symmetry: P4/mmm (123)
Formation enthalpy at 0 K in meV per atom: -447.7
Calculated volume in Å³/f.u.: 85.8

Material: Ba2NaCu2
Method: DFT, SCAN
State: single point on PBEsol structure

Cell and atoms, written as POSCAR:
```
Ba2NaCu2
1.0
8.4186 0.0000 0.0000
0.0000 8.4186 0.0000
0.0000 0.0000 4.3905
Ba Na Cu
4 2 4
Direct
0.1762 0.3238 0.0000
0.3238 0.8238 0.0000
0.6762 0.1762 0.0000
0.8238 0.6762 0.0000
0.0000 0.0000 0.5000
0.5000 0.5000 0.5000
0.1037 0.6037 0.5000
0.3963 0.1037 0.5000
0.6037 0.8963 0.5000
0.8963 0.3963 0.5000
```

DOS(E_F) in states/eV per cell: 5.414
Symmetry: P4/mbm (127)
Formation enthalpy at 0 K in meV per atom: 43.0
Calculated volume in Å³/f.u.: 155.6

Material: Li2MnO2F
Method: DFT, SCAN
State: single point on PBEsol structure

Cell and atoms, written as POSCAR:
```
Li2MnO2F
1.0
2.5412 -4.3724 0.0000
2.5412 4.3724 0.0000
-1.5863 0.0000 9.4942
Li Mn O F
8 4 8 4
Direct
0.0000 0.5000 0.0000
0.1408 0.3316 0.5032
0.2378 0.7622 0.7500
0.3316 0.1408 0.0032
0.5000 0.0000 0.5000
0.6684 0.8592 0.9968
0.7622 0.2378 0.2500
0.8592 0.6684 0.4968
0.0867 0.9133 0.2500
0.4091 0.5909 0.2500
0.5909 0.4091 0.7500
0.9133 0.0867 0.7500
0.0817 0.2192 0.1453
0.1317 0.6480 0.3675
0.2192 0.0817 0.6453
0.3520 0.8683 0.1325
0.6480 0.1317 0.8675
0.7808 0.9183 0.3547
0.8683 0.3520 0.6325
0.9183 0.7808 0.8547
0.3070 0.4848 0.8862
0.4848 0.3070 0.3862
0.5152 0.6930 0.6138
0.6930 0.5152 0.1138
```

Symmetry: C2/c (15)
Energy in eV per cell: -215.29
Calculated volume in Å³/f.u.: 52.7